VASP calculation (SCAN) on a PBEsol-optimized structure of ZnTeI2.

Results
Formation energy from raw total energies (eV/f.u.): 0.9
VASP energy (eV/atom): -30.83

Cell: 6.814 6.814 6.814 Å, 105.61 105.61 117.50°
Fractional coordinates of all 8 atoms:
Te1 0.000 0.000 0.000
I1 0.125 0.557 0.932
I2 0.625 0.193 0.068
Zn1 0.750 0.250 0.500
Zn2 0.500 0.500 0.000
I3 0.443 0.375 0.568
I4 0.807 0.875 0.432
Te2 0.250 0.750 0.500



VASP calculation (SCAN) on a PBEsol-optimized structure of ZrTeI2.

Results
Formation energy from raw total energies (eV/f.u.): 0.4
VASP energy (eV/atom): -35.25

Cell: 5.274 5.274 5.274 Å, 60.00 60.00 60.00°
Fractional coordinates of all 4 atoms:
I1 0.250 0.250 0.250
Te1 0.500 0.500 0.500
Zr1 0.000 0.000 0.000
I2 0.750 0.750 0.750



Copy entry 2 word for word.
VASP calculation (SCAN) on a PBEsol-optimized structure of ZrTeI2.

Results
Formation energy from raw total energies (eV/f.u.): 0.4
VASP energy (eV/atom): -35.25

Cell: 5.274 5.274 5.274 Å, 60.00 60.00 60.00°
Fractional coordinates of all 4 atoms:
I1 0.250 0.250 0.250
Te1 0.500 0.500 0.500
Zr1 0.000 0.000 0.000
I2 0.750 0.750 0.750